The following is a DFT calculation (PBE) of an optimized crystal structure of La2S2Br.

Unit cell a=5.155 b=5.155 c=5.854 alpha=90.00 beta=90.00 gamma=120.00
Element x y z (fractional)
La (0.667, 0.333, 0.766)
La (0.333, 0.667, 0.234)
S (0.667, 0.333, 0.278)
S (0.333, 0.667, 0.722)
Br (0.000, 0.000, 0.000)

* size of the total moment: 0.00 μB/cell
* raw formation energy: -2.03 eV per atom
* DFT total energy: -29.96 eV/cell
* D(E_F): 2.2 states/eV/cell

***

The following is a DFT calculation (PBE) of an optimized crystal structure of La3S2Br2.

Unit cell a=4.113 b=7.606 c=7.206 alpha=99.02 beta=106.58 gamma=90.00
Element x y z (fractional)
La (0.000, 0.000, 0.000)
La (0.244, 0.785, 0.489)
La (0.756, 0.215, 0.511)
S (0.380, 0.122, 0.760)
S (0.620, 0.878, 0.240)
Br (0.125, 0.384, 0.250)
Br (0.875, 0.616, 0.750)

* size of the total moment: 0.00 μB/cell
* raw formation energy: -1.94 eV per atom
* DFT total energy: -39.95 eV/cell
* D(E_F): 3.7 states/eV/cell